a) # SrLiRh3 PBE optimized geometry
data_SrLiRh3
_chemical_formula_sum 'Sr1 Li1 Rh3'
_cell_length_a 5.024
_cell_length_b 5.024
_cell_length_c 5.024
_cell_angle_alpha 90.00
_cell_angle_beta 90.00
_cell_angle_gamma 90.00
_symmetry_space_group_name_H-M 'P 1'
_symmetry_Int_Tables_number 1
_symmetry_space_group_name_Hall 'P 1'
loop_
_atom_site_label
_atom_site_fract_x
_atom_site_fract_y
_atom_site_fract_z
_atom_site_occupancy
Sr1 0.000 0.000 0.000 1
Li1 0.500 0.500 0.500 1
Rh1 0.000 0.000 0.500 1
Rh2 0.000 0.500 0.000 1
Rh3 0.500 0.000 0.000 1
# density of states at the Fermi level: 9.388 states/eV/f.u.

b) # SrLiRh3 PBE optimized geometry
data_SrLiRh3
_chemical_formula_sum 'Sr1 Li1 Rh3'
_cell_length_a 4.424
_cell_length_b 4.424
_cell_length_c 4.424
_cell_angle_alpha 90.00
_cell_angle_beta 90.00
_cell_angle_gamma 90.00
_symmetry_space_group_name_H-M 'P 1'
_symmetry_Int_Tables_number 1
_symmetry_space_group_name_Hall 'P 1'
loop_
_atom_site_label
_atom_site_fract_x
_atom_site_fract_y
_atom_site_fract_z
_atom_site_occupancy
Sr1 0.000 0.000 0.000 1
Li1 0.500 0.500 0.500 1
Rh1 0.000 0.500 0.500 1
Rh2 0.500 0.000 0.500 1
Rh3 0.500 0.500 0.000 1
# density of states at the Fermi level: 4.529 states/eV/f.u.

Most stable structure, least stable structure: b), a).

a) # SrLiTlRh PBE optimized geometry
data_SrLiTlRh
_chemical_formula_sum 'Sr1 Li1 Tl1 Rh1'
_cell_length_a 4.714
_cell_length_b 4.714
_cell_length_c 5.819
_cell_angle_alpha 113.91
_cell_angle_beta 113.91
_cell_angle_gamma 60.08
_symmetry_space_group_name_H-M 'P 1'
_symmetry_Int_Tables_number 1
_symmetry_space_group_name_Hall 'P 1'
loop_
_atom_site_label
_atom_site_fract_x
_atom_site_fract_y
_atom_site_fract_z
_atom_site_occupancy
Sr1 0.000 0.000 0.000 1
Li1 0.804 0.804 0.414 1
Tl1 0.513 0.513 0.540 1
Rh1 0.199 0.199 0.600 1
# density of states at the Fermi level: 2.373 states/eV/f.u.

b) # SrLiTlRh PBE optimized geometry
data_SrLiTlRh
_chemical_formula_sum 'Sr1 Li1 Tl1 Rh1'
_cell_length_a 4.975
_cell_length_b 4.975
_cell_length_c 4.975
_cell_angle_alpha 60.00
_cell_angle_beta 60.00
_cell_angle_gamma 60.00
_symmetry_space_group_name_H-M 'P 1'
_symmetry_Int_Tables_number 1
_symmetry_space_group_name_Hall 'P 1'
loop_
_atom_site_label
_atom_site_fract_x
_atom_site_fract_y
_atom_site_fract_z
_atom_site_occupancy
Sr1 0.000 0.000 0.000 1
Li1 0.750 0.750 0.750 1
Tl1 0.500 0.500 0.500 1
Rh1 0.250 0.250 0.250 1
# density of states at the Fermi level: 2.008 states/eV/f.u.

Most stable structure, least stable structure: a), b).

a) # SrLi2ZnRh PBE optimized geometry
data_SrLi2ZnRh
_chemical_formula_sum 'Sr1 Li2 Zn1 Rh1'
_cell_length_a 4.701
_cell_length_b 4.701
_cell_length_c 4.898
_cell_angle_alpha 90.00
_cell_angle_beta 90.00
_cell_angle_gamma 90.00
_symmetry_space_group_name_H-M 'P 1'
_symmetry_Int_Tables_number 1
_symmetry_space_group_name_Hall 'P 1'
loop_
_atom_site_label
_atom_site_fract_x
_atom_site_fract_y
_atom_site_fract_z
_atom_site_occupancy
Sr1 0.000 0.000 0.000 1
Li1 0.000 0.500 0.500 1
Li2 0.500 0.000 0.500 1
Zn1 0.500 0.500 0.500 1
Rh1 0.500 0.500 0.000 1
# density of states at the Fermi level: 3.153 states/eV/f.u.

b) # SrLi2ZnRh PBE optimized geometry
data_SrLi2ZnRh
_chemical_formula_sum 'Sr1 Li2 Zn1 Rh1'
_cell_length_a 4.753
_cell_length_b 4.753
_cell_length_c 4.930
_cell_angle_alpha 90.00
_cell_angle_beta 90.00
_cell_angle_gamma 90.00
_symmetry_space_group_name_H-M 'P 1'
_symmetry_Int_Tables_number 1
_symmetry_space_group_name_Hall 'P 1'
loop_
_atom_site_label
_atom_site_fract_x
_atom_site_fract_y
_atom_site_fract_z
_atom_site_occupancy
Sr1 0.000 0.000 0.000 1
Li1 0.000 0.500 0.500 1
Li2 0.500 0.000 0.500 1
Zn1 0.500 0.500 0.000 1
Rh1 0.500 0.500 0.500 1
# density of states at the Fermi level: 2.565 states/eV/f.u.

Most stable structure, least stable structure: b), a).

a) # LiTaRh4 PBE optimized geometry
data_LiTaRh4
_chemical_formula_sum 'Li1 Ta1 Rh4'
_cell_length_a 5.085
_cell_length_b 5.085
_cell_length_c 5.085
_cell_angle_alpha 60.00
_cell_angle_beta 60.00
_cell_angle_gamma 60.00
_symmetry_space_group_name_H-M 'P 1'
_symmetry_Int_Tables_number 1
_symmetry_space_group_name_Hall 'P 1'
loop_
_atom_site_label
_atom_site_fract_x
_atom_site_fract_y
_atom_site_fract_z
_atom_site_occupancy
Li1 0.000 0.000 0.000 1
Ta1 0.250 0.250 0.250 1
Rh1 0.124 0.625 0.625 1
Rh2 0.625 0.124 0.625 1
Rh3 0.625 0.625 0.124 1
Rh4 0.625 0.625 0.625 1
# density of states at the Fermi level: 5.853 states/eV/f.u.

b) # LiTaRh4 PBE optimized geometry
data_LiTaRh4
_chemical_formula_sum 'Li1 Ta1 Rh4'
_cell_length_a 4.293
_cell_length_b 5.052
_cell_length_c 5.075
_cell_angle_alpha 65.49
_cell_angle_beta 65.08
_cell_angle_gamma 64.86
_symmetry_space_group_name_H-M 'P 1'
_symmetry_Int_Tables_number 1
_symmetry_space_group_name_Hall 'P 1'
loop_
_atom_site_label
_atom_site_fract_x
_atom_site_fract_y
_atom_site_fract_z
_atom_site_occupancy
Li1 0.000 0.000 0.000 1
Ta1 0.000 0.500 0.500 1
Rh1 0.324 0.806 0.546 1
Rh2 0.341 0.295 0.023 1
Rh3 0.659 0.705 0.977 1
Rh4 0.676 0.194 0.454 1
# density of states at the Fermi level: 10.111 states/eV/f.u.

Most stable structure, least stable structure: b), a).

a) # Li2TaRh PBE optimized geometry
data_Li2TaRh
_chemical_formula_sum 'Li2 Ta1 Rh1'
_cell_length_a 2.820
_cell_length_b 4.285
_cell_length_c 5.242
_cell_angle_alpha 90.00
_cell_angle_beta 91.52
_cell_angle_gamma 90.00
_symmetry_space_group_name_H-M 'P 1'
_symmetry_Int_Tables_number 1
_symmetry_space_group_name_Hall 'P 1'
loop_
_atom_site_label
_atom_site_fract_x
_atom_site_fract_y
_atom_site_fract_z
_atom_site_occupancy
Li1 0.000 0.000 0.000 1
Li2 0.473 0.500 0.866 1
Ta1 0.515 0.000 0.479 1
Rh1 0.004 0.500 0.349 1
# density of states at the Fermi level: 1.811 states/eV/f.u.

b) # Li2TaRh PBE optimized geometry
data_Li2TaRh
_chemical_formula_sum 'Li2 Ta1 Rh1'
_cell_length_a 4.618
_cell_length_b 4.618
_cell_length_c 4.711
_cell_angle_alpha 110.68
_cell_angle_beta 110.68
_cell_angle_gamma 39.48
_symmetry_space_group_name_H-M 'P 1'
_symmetry_Int_Tables_number 1
_symmetry_space_group_name_Hall 'P 1'
loop_
_atom_site_label
_atom_site_fract_x
_atom_site_fract_y
_atom_site_fract_z
_atom_site_occupancy
Li1 0.000 0.000 0.000 1
Li2 0.735 0.735 0.153 1
Ta1 0.507 0.507 0.498 1
Rh1 0.259 0.259 0.678 1
# density of states at the Fermi level: 0.764 states/eV/f.u.

Most stable structure, least stable structure: a), b).

a) # LiTaRh PBE optimized geometry
data_LiTaRh
_chemical_formula_sum 'Li1 Ta1 Rh1'
_cell_length_a 7.299
_cell_length_b 7.089
_cell_length_c 2.749
_cell_angle_alpha 83.33
_cell_angle_beta 74.70
_cell_angle_gamma 21.97
_symmetry_space_group_name_H-M 'P 1'
_symmetry_Int_Tables_number 1
_symmetry_space_group_name_Hall 'P 1'
loop_
_atom_site_label
_atom_site_fract_x
_atom_site_fract_y
_atom_site_fract_z
_atom_site_occupancy
Li1 0.000 0.000 0.000 1
Ta1 0.314 0.314 0.686 1
Rh1 0.655 0.655 0.345 1
# density of states at the Fermi level: 1.754 states/eV/f.u.

b) # LiTaRh PBE optimized geometry
data_LiTaRh
_chemical_formula_sum 'Li1 Ta1 Rh1'
_cell_length_a 4.736
_cell_length_b 4.736
_cell_length_c 4.736
_cell_angle_alpha 144.71
_cell_angle_beta 133.24
_cell_angle_gamma 59.91
_symmetry_space_group_name_H-M 'P 1'
_symmetry_Int_Tables_number 1
_symmetry_space_group_name_Hall 'P 1'
loop_
_atom_site_label
_atom_site_fract_x
_atom_site_fract_y
_atom_site_fract_z
_atom_site_occupancy
Li1 0.000 0.000 0.000 1
Ta1 0.321 0.321 0.000 1
Rh1 0.651 0.651 0.000 1
# density of states at the Fermi level: 2.080 states/eV/f.u.

Most stable structure, least stable structure: b), a).

a) # LiTaRh PBE optimized geometry
data_LiTaRh
_chemical_formula_sum 'Li1 Ta1 Rh1'
_cell_length_a 4.292
_cell_length_b 4.292
_cell_length_c 2.788
_cell_angle_alpha 90.00
_cell_angle_beta 90.00
_cell_angle_gamma 120.00
_symmetry_space_group_name_H-M 'P 1'
_symmetry_Int_Tables_number 1
_symmetry_space_group_name_Hall 'P 1'
loop_
_atom_site_label
_atom_site_fract_x
_atom_site_fract_y
_atom_site_fract_z
_atom_site_occupancy
Li1 0.000 0.000 0.000 1
Ta1 0.333 0.667 0.603 1
Rh1 0.667 0.333 0.251 1
# density of states at the Fermi level: 2.662 states/eV/f.u.

b) # LiTaRh PBE optimized geometry
data_LiTaRh
_chemical_formula_sum 'Li1 Ta1 Rh1'
_cell_length_a 4.216
_cell_length_b 4.216
_cell_length_c 4.216
_cell_angle_alpha 60.00
_cell_angle_beta 60.00
_cell_angle_gamma 60.00
_symmetry_space_group_name_H-M 'P 1'
_symmetry_Int_Tables_number 1
_symmetry_space_group_name_Hall 'P 1'
loop_
_atom_site_label
_atom_site_fract_x
_atom_site_fract_y
_atom_site_fract_z
_atom_site_occupancy
Li1 0.000 0.000 0.000 1
Ta1 0.500 0.500 0.500 1
Rh1 0.250 0.250 0.250 1
# density of states at the Fermi level: 3.940 states/eV/f.u.

Most stable structure, least stable structure: a), b).

a) # LiTaRh PBE optimized geometry
data_LiTaRh
_chemical_formula_sum 'Li2 Ta2 Rh2'
_cell_length_a 2.805
_cell_length_b 2.805
_cell_length_c 14.031
_cell_angle_alpha 90.00
_cell_angle_beta 90.00
_cell_angle_gamma 120.00
_symmetry_space_group_name_H-M 'P 1'
_symmetry_Int_Tables_number 1
_symmetry_space_group_name_Hall 'P 1'
loop_
_atom_site_label
_atom_site_fract_x
_atom_site_fract_y
_atom_site_fract_z
_atom_site_occupancy
Li1 0.000 0.000 0.149 1
Li2 0.000 0.000 0.851 1
Ta1 0.333 0.667 0.337 1
Ta2 0.333 0.667 0.663 1
Rh1 0.000 0.000 0.500 1
Rh2 0.333 0.667 0.000 1
# density of states at the Fermi level: 3.112 states/eV/f.u.

b) # LiTaRh PBE optimized geometry
data_LiTaRh
_chemical_formula_sum 'Li1 Ta1 Rh1'
_cell_length_a 4.221
_cell_length_b 4.221
_cell_length_c 4.221
_cell_angle_alpha 60.00
_cell_angle_beta 60.00
_cell_angle_gamma 60.00
_symmetry_space_group_name_H-M 'P 1'
_symmetry_Int_Tables_number 1
_symmetry_space_group_name_Hall 'P 1'
loop_
_atom_site_label
_atom_site_fract_x
_atom_site_fract_y
_atom_site_fract_z
_atom_site_occupancy
Li1 0.000 0.000 0.000 1
Ta1 0.250 0.250 0.250 1
Rh1 0.500 0.500 0.500 1
# density of states at the Fermi level: 3.213 states/eV/f.u.

Most stable structure, least stable structure: a), b).